Here is LaGaH2 after structural relaxation from Alexandria via LeMat-Bulk. Energies are from PBE.

```
data_LaGaH2
_space_group_name_H-M_alt 'P 1'
_space_group_IT_number 1
_cell_length_a 4.6697
_cell_length_b 4.6697
_cell_length_c 6.5937
_cell_angle_alpha 69.26
_cell_angle_beta 69.26
_cell_angle_gamma 90.00
loop_
_space_group_symop_operation_xyz
'x,y,z'
loop_
_atom_site_label
_atom_site_fract_x
_atom_site_fract_y
_atom_site_fract_z
H1 0.3750 0.4355 0.7500
Ga1 0.2500 0.7500 0.5000
H2 0.8750 0.8145 0.7500
La1 0.0000 0.0000 0.0000
La2 0.7500 0.2500 0.5000
H3 0.1855 0.6250 0.2500
H4 0.5645 0.1250 0.2500
Ga2 0.5000 0.5000 0.0000
```

Calculated values
Uncorrected energy: -3.81 eV/atom
Energy relative to the lowest polymorph listed for this composition: 446 meV per atom



Here is YZn2Ru after structural relaxation from Alexandria via LeMat-Bulk. Energies are from PBE.

```
data_YZn2Ru
_space_group_name_H-M_alt 'P 1'
_space_group_IT_number 1
_cell_length_a 4.6137
_cell_length_b 4.6137
_cell_length_c 4.6137
_cell_angle_alpha 60.00
_cell_angle_beta 60.00
_cell_angle_gamma 60.00
loop_
_space_group_symop_operation_xyz
'x,y,z'
loop_
_atom_site_label
_atom_site_fract_x
_atom_site_fract_y
_atom_site_fract_z
Ru1 0.5000 0.5000 0.5000
Y1 0.0000 0.0000 0.0000
Zn1 0.2500 0.2500 0.2500
Zn2 0.7500 0.7500 0.7500
```

Calculated values
Uncorrected energy: -4.72 eV/atom



Here is LiY2Ag after structural relaxation from Alexandria via LeMat-Bulk. Energies are from PBE.

```
data_LiY2Ag
_space_group_name_H-M_alt 'P 1'
_space_group_IT_number 1
_cell_length_a 5.0861
_cell_length_b 5.0861
_cell_length_c 5.0861
_cell_angle_alpha 60.00
_cell_angle_beta 60.00
_cell_angle_gamma 60.00
loop_
_space_group_symop_operation_xyz
'x,y,z'
loop_
_atom_site_label
_atom_site_fract_x
_atom_site_fract_y
_atom_site_fract_z
Li1 0.7500 0.7500 0.7500
Ag1 0.5000 0.5000 0.5000
Y1 0.0000 0.0000 0.0000
Y2 0.2500 0.2500 0.2500
```

Calculated values
Uncorrected energy: -4.32 eV/atom
Energy relative to the lowest polymorph listed for this composition: 224 meV per atom



Here is Ba2Li3Pd12Au after structural relaxation from Alexandria via LeMat-Bulk. Energies are from PBE.

```
data_Ba2Li3Pd12Au
_space_group_name_H-M_alt 'P 1'
_space_group_IT_number 1
_cell_length_a 12.6072
_cell_length_b 12.6072
_cell_length_c 12.6072
_cell_angle_alpha 26.22
_cell_angle_beta 26.22
_cell_angle_gamma 26.22
loop_
_space_group_symop_operation_xyz
'x,y,z'
loop_
_atom_site_label
_atom_site_fract_x
_atom_site_fract_y
_atom_site_fract_z
Pd1 0.3897 0.8625 0.3897
Li1 0.0000 0.5000 0.0000
Pd2 0.8984 0.8984 0.3892
Pd3 0.3892 0.8984 0.8984
Pd4 0.3897 0.3897 0.8625
Pd5 0.1375 0.6103 0.6103
Li2 0.5000 0.0000 0.0000
Pd6 0.8984 0.3892 0.8984
Ba1 0.3598 0.3598 0.3598
Pd7 0.8625 0.3897 0.3897
Pd8 0.6103 0.6103 0.1375
Pd9 0.6103 0.1375 0.6103
Au1 0.0000 0.0000 0.0000
Ba2 0.6402 0.6402 0.6402
Pd10 0.6108 0.1016 0.1016
Pd11 0.1016 0.1016 0.6108
Li3 0.0000 0.0000 0.5000
Pd12 0.1016 0.6108 0.1016
```

Calculated values
Uncorrected energy: -4.30 eV/atom



Number 1: DOS(E_F) 2.2 states/eV per cell. Number 2: DOS(E_F) 6.1 states/eV per cell. Number 3: DOS(E_F) 1.5 states/eV per cell. Number 4: DOS(E_F) 15.3 states/eV per cell.